# CeInTe2 PBE relaxed
data_CeInTe2
_chemical_formula_sum 'Ce4 In4 Te8'
_symmetry_space_group_name_H-M 'P 1 21/c 1'
_symmetry_Int_Tables_number 14
_cell_length_a 8.065
_cell_length_b 8.170
_cell_length_c 7.903
_cell_angle_alpha 90.00
_cell_angle_beta 106.67
_cell_angle_gamma 90.00
loop_
_symmetry_equiv_pos_as_xyz
'x,y,z'
'-x,-y,-z'
'-x,y+1/2,-z+1/2'
'x,-y+1/2,z+1/2'
loop_
_atom_site_label
_atom_site_fract_x
_atom_site_fract_y
_atom_site_fract_z
Ce1 0.202 0.050 0.265
In1 0.292 0.527 0.367
Te1 0.059 0.717 0.033
Te2 0.457 0.187 0.640
# Volume in Å³ per cell: 499
# Formation energy (no corrections) in meV per atom: -880.0
# N(E_F) in states/eV per cell: 27.89